## a
Crystalline Tl3CoNi at its relaxed geometry. Source: Alexandria via LeMat-Bulk, functional PBE.

Unit cell a=5.0542 b=5.0542 c=5.0542 alpha=90.00 beta=90.00 gamma=90.00
Closest atoms and distances in Å follow each position.
Atoms (fractional coordinates):
Tl: 0.0000 0.0000 0.5000  2 Ni 2.53
Tl: 0.5000 0.0000 0.0000  2 Ni 2.53
Co: 0.5000 0.5000 0.5000  12 Tl 3.57
Ni: 0.0000 0.0000 0.0000  6 Tl 2.53
Tl: 0.0000 0.5000 0.0000  2 Ni 2.53


## b
Crystalline Tl3CoNi at its relaxed geometry. Source: Alexandria via LeMat-Bulk, functional PBE.

Unit cell a=4.9977 b=4.9977 c=4.9977 alpha=90.00 beta=90.00 gamma=90.00
Closest atoms and distances in Å follow each position.
Atoms (fractional coordinates):
Tl: 0.5000 0.0000 0.0000  2 Co 2.50
Co: 0.0000 0.0000 0.0000  6 Tl 2.50
Tl: 0.0000 0.5000 0.0000  2 Co 2.50
Ni: 0.5000 0.5000 0.5000  12 Tl 3.53
Tl: 0.0000 0.0000 0.5000  2 Co 2.50


Stability ranking, top entry: b; the second entry is 1.8 kJ/mol of atoms less favorable.


## a
Crystalline Tm6Co2Ni at its relaxed geometry. Source: Alexandria via LeMat-Bulk, functional PBE.

Unit cell a=8.0340 b=8.0340 c=8.0340 alpha=107.58 beta=111.04 gamma=109.81
Closest atoms and distances in Å follow each position.
Atoms (fractional coordinates):
Tm: 0.3147 0.6411 0.3264  3 Co 2.63-2.84
Tm: 0.8135 0.7496 0.5630  1 Co 2.71, 2 Ni 2.91-2.92
Tm: 0.3147 0.9883 0.6736  3 Co 2.63-2.84
Tm: 0.6853 0.3589 0.6736  3 Co 2.63-2.84
Tm: 0.5556 0.7326 0.8230  3 Co 2.83-2.90, 1 Ni 2.95
Tm: 0.8135 0.2504 0.0639  1 Co 2.71, 2 Ni 2.91-2.92
Tm: 0.4444 0.2674 0.1770  3 Co 2.83-2.90, 1 Ni 2.95
Tm: 0.9096 0.7326 0.1770  3 Co 2.83-2.90, 1 Ni 2.95
Co: 0.6704 0.0000 0.6704  8 Tm 2.71-2.84, 1 Ni 3.00
Co: 0.5000 0.3837 0.8837  1 Co 2.21
Ni: 0.0000 0.5000 0.5000  4 Tm 2.91
Tm: 0.1865 0.2504 0.4370  1 Co 2.71, 2 Ni 2.91-2.92
Co: 0.5000 0.6163 0.1163  1 Co 2.21
Tm: 0.6853 0.0117 0.3264  3 Co 2.63-2.84
Tm: 0.1865 0.7496 0.9361  1 Co 2.71, 2 Ni 2.91-2.92
Tm: 0.0904 0.2674 0.8230  3 Co 2.83-2.90, 1 Ni 2.95
Co: 0.3296 0.0000 0.3296  8 Tm 2.71-2.84, 1 Ni 3.00
Ni: 0.0000 0.0000 0.0000  8 Tm 2.92-2.95, 2 Co 3.00


## b
Crystalline Tm6Co2Ni at its relaxed geometry. Source: Alexandria via LeMat-Bulk, functional PBE.

Unit cell a=6.3231 b=7.0479 c=9.3926 alpha=90.00 beta=87.55 gamma=90.00
Closest atoms and distances in Å follow each position.
Atoms (fractional coordinates):
Co: 0.5415 0.8823 0.7696  6 Tm 2.66-2.97
Co: 0.9585 0.3823 0.7304  6 Tm 2.66-2.97
Ni: 0.5000 0.5000 0.0000  6 Tm 2.57-2.67
Tm: 0.8242 0.6696 0.5659  1 Ni 2.64, 1 Co 2.71
Tm: 0.6566 0.4485 0.2561  2 Co 2.66-2.72, 1 Ni 2.67
Tm: 0.6575 0.1751 0.5784  1 Ni 2.57, 2 Co 2.81-2.83
Co: 0.4585 0.1177 0.2304  6 Tm 2.66-2.97
Tm: 0.1758 0.3304 0.4341  1 Ni 2.64, 1 Co 2.71
Tm: 0.8425 0.6751 0.9216  1 Ni 2.57, 2 Co 2.81-2.83
Tm: 0.6758 0.1696 0.9341  1 Ni 2.64, 1 Co 2.71
Co: 0.0415 0.6177 0.2696  6 Tm 2.66-2.97
Tm: 0.8434 0.9485 0.2439  2 Co 2.66-2.72, 1 Ni 2.67
Tm: 0.1575 0.3249 0.0784  1 Ni 2.57, 2 Co 2.81-2.83
Tm: 0.1566 0.0515 0.7561  2 Co 2.66-2.72, 1 Ni 2.67
Tm: 0.3434 0.5515 0.7439  2 Co 2.66-2.72, 1 Ni 2.67
Tm: 0.3425 0.8249 0.4216  1 Ni 2.57, 2 Co 2.81-2.83
Tm: 0.3242 0.8304 0.0659  1 Ni 2.64, 1 Co 2.71
Ni: 0.0000 0.0000 0.5000  6 Tm 2.57-2.67


Stability ranking, top entry: a; the second entry is 3.6 kJ/mol of atoms less favorable.


## a
Crystalline Tm8CoNi2 at its relaxed geometry. Source: Alexandria via LeMat-Bulk, functional PBE.

Unit cell a=5.8845 b=7.2876 c=7.2876 alpha=112.45 beta=100.73 gamma=100.73
Closest atoms and distances in Å follow each position.
Atoms (fractional coordinates):
Tm: 0.3750 0.9274 0.6668  2 Ni 2.72-2.73, 1 Co 2.82
Ni: 0.4820 0.3191 0.6928  6 Tm 2.71-2.93
Tm: 0.8060 0.6454 0.6454  2 Ni 2.93, 1 Co 2.94
Tm: 0.9892 0.7926 0.2080  1 Co 2.73
Co: 0.1692 0.9988 0.9988  8 Tm 2.73-2.94
Tm: 0.9892 0.2080 0.7926  1 Co 2.73
Ni: 0.4820 0.6928 0.3191  6 Tm 2.71-2.93
Tm: 0.5808 0.0819 0.3442  2 Ni 2.71, 1 Co 2.93
Tm: 0.1703 0.3569 0.3569  1 Co 2.90, 2 Ni 2.91
Tm: 0.5808 0.3442 0.0819  2 Ni 2.71, 1 Co 2.93
Tm: 0.3750 0.6668 0.9274  2 Ni 2.72-2.73, 1 Co 2.82


## b
Crystalline Tm8CoNi2 at its relaxed geometry. Source: Alexandria via LeMat-Bulk, functional PBE.

Unit cell a=4.9214 b=6.4964 c=8.7181 alpha=105.68 beta=106.39 gamma=90.00
Closest atoms and distances in Å follow each position.
Atoms (fractional coordinates):
Ni: 0.1874 0.7172 0.3748  3 Tm 2.64-2.73
Ni: 0.8126 0.2828 0.6252  3 Tm 2.64-2.73
Tm: 0.5913 0.4424 0.1825  1 Co 2.85
Tm: 0.7981 0.6777 0.5963  1 Ni 2.64
Tm: 0.2019 0.3223 0.4037  1 Ni 2.64
Tm: 0.6682 0.9752 0.3364  1 Ni 2.67, 1 Co 2.86
Co: 0.5000 0.0000 0.0000  8 Tm 2.85-2.94
Tm: 0.0352 0.7940 0.0703  1 Ni 2.73, 2 Co 2.94
Tm: 0.9648 0.2060 0.9297  1 Ni 2.73, 2 Co 2.94
Tm: 0.4087 0.5576 0.8175  1 Co 2.85
Tm: 0.3318 0.0248 0.6636  1 Ni 2.67, 1 Co 2.86


Stability ranking, top entry: b; the second entry is 8.2 kJ/mol of atoms less favorable.


## a
Crystalline Tm6CoNi2 at its relaxed geometry. Source: Alexandria via LeMat-Bulk, functional PBE.

Unit cell a=6.3090 b=7.0250 c=9.5473 alpha=90.00 beta=88.97 gamma=90.00
Closest atoms and distances in Å follow each position.
Atoms (fractional coordinates):
Tm: 0.3257 0.8223 0.0684  1 Co 2.60, 2 Ni 2.79-2.85
Tm: 0.6609 0.1771 0.5714  1 Co 2.56, 2 Ni 2.79-2.86
Ni: 0.0524 0.6174 0.2554  6 Tm 2.72-2.86
Tm: 0.1743 0.3223 0.4316  1 Co 2.60, 2 Ni 2.79-2.85
Co: 0.5000 0.5000 0.0000  6 Tm 2.56-2.61
Tm: 0.3491 0.5418 0.7489  1 Co 2.61, 2 Ni 2.72-2.77
Tm: 0.3391 0.8229 0.4286  1 Co 2.56, 2 Ni 2.79-2.86
Tm: 0.8391 0.6771 0.9286  1 Co 2.56, 2 Ni 2.79-2.86
Ni: 0.4476 0.1174 0.2446  6 Tm 2.72-2.86
Tm: 0.1609 0.3229 0.0714  1 Co 2.56, 2 Ni 2.79-2.86
Tm: 0.6743 0.1777 0.9316  1 Co 2.60, 2 Ni 2.79-2.85
Tm: 0.8257 0.6777 0.5684  1 Co 2.60, 2 Ni 2.79-2.85
Tm: 0.8491 0.9582 0.2489  1 Co 2.61, 2 Ni 2.72-2.77
Co: 0.0000 0.0000 0.5000  6 Tm 2.56-2.61
Ni: 0.9476 0.3826 0.7446  6 Tm 2.72-2.86
Ni: 0.5524 0.8826 0.7554  6 Tm 2.72-2.86
Tm: 0.1509 0.0418 0.7511  1 Co 2.61, 2 Ni 2.72-2.77
Tm: 0.6509 0.4582 0.2511  1 Co 2.61, 2 Ni 2.72-2.77


## b
Crystalline Tm6CoNi2 at its relaxed geometry. Source: Alexandria via LeMat-Bulk, functional PBE.

Unit cell a=4.2137 b=6.7121 c=8.2038 alpha=78.93 beta=75.12 gamma=71.71
Closest atoms and distances in Å follow each position.
Atoms (fractional coordinates):
Co: 0.0000 0.5000 0.5000  4 Tm 2.70, 4 Ni 3.00
Ni: 0.6057 0.5593 0.2293  7 Tm 2.68-2.89, 2 Co 3.00
Tm: 0.0070 0.1744 0.8117  2 Ni 2.70
Tm: 0.3599 0.7621 0.5181  2 Ni 2.68-2.76, 2 Co 2.70
Tm: 0.2727 0.3203 0.1342  3 Ni 2.76-2.89
Tm: 0.7273 0.6797 0.8658  3 Ni 2.76-2.89
Tm: 0.9930 0.8256 0.1883  2 Ni 2.70
Tm: 0.6401 0.2379 0.4819  2 Ni 2.68-2.76, 2 Co 2.70
Ni: 0.3943 0.4407 0.7707  7 Tm 2.68-2.89, 2 Co 3.00


Stability ranking, top entry: a; the second entry is 1.9 kJ/mol of atoms less favorable.


## a
Crystalline YTmCoNi at its relaxed geometry. Source: Alexandria via LeMat-Bulk, functional PBE.

Unit cell a=4.7195 b=4.7195 c=4.7195 alpha=60.00 beta=60.00 gamma=60.00
Closest atoms and distances in Å follow each position.
Atoms (fractional coordinates):
Y: 0.7500 0.7500 0.7500  4 Co 2.89, 4 Ni 2.89
Co: 0.5000 0.5000 0.5000  4 Tm 2.89, 4 Y 2.89
Ni: 0.0000 0.0000 0.0000  4 Y 2.89, 4 Tm 2.89
Tm: 0.2500 0.2500 0.2500  4 Co 2.89, 4 Ni 2.89


## b
Crystalline YTmCoNi at its relaxed geometry. Source: Alexandria via LeMat-Bulk, functional PBE.

Unit cell a=3.8391 b=3.9313 c=5.5292 alpha=90.00 beta=110.31 gamma=90.00
Closest atoms and distances in Å follow each position.
Atoms (fractional coordinates):
Tm: 0.8601 0.5000 0.7202  4 Co 2.84, 3 Ni 2.86-3.06
Y: 0.1450 0.0000 0.2901  4 Ni 2.87, 3 Co 2.94-2.95
Co: 0.4297 0.0000 0.8594  2 Ni 2.42
Ni: 0.5652 0.5000 0.1303  2 Co 2.42


Stability ranking, top entry: b; the second entry is 4.6 kJ/mol of atoms less favorable.